Below is crystalline TiV2Ag at its relaxed geometry, with properties calculated at the PBE level.

abc: 4.4241 4.4241 4.4241
angles: 60.00 60.00 60.00
Sites, in units of the cell vectors:
Ti  0.0000  0.0000  0.0000
V  0.2500  0.2500  0.2500
V  0.7500  0.7500  0.7500
Ag  0.5000  0.5000  0.5000

Properties
M_tot = 0.00 μB per formula unit
Energy = -6.830 eV per atom
Calculated density = 7.0 Mg/m³
DFT formation energy = 0.42 eV/atom
Space-group type = Fm-3m
Energy relative to the lowest polymorph listed for this composition = 0.000 eV/f.u.